First-principles (PBE+U) data for a relaxed LiV3O8 crystal, as listed in the Alexandria database.

Structure (CIF):
```
data_LiV3O8
_chemical_formula_sum 'Li2 V6 O16'
_symmetry_space_group_name_H-M 'P 1 m 1'
_symmetry_Int_Tables_number 6
_symmetry_space_group_name_Hall 'P -2y'
_cell_length_a 7.040
_cell_length_b 3.636
_cell_length_c 12.594
_cell_angle_alpha 90.00
_cell_angle_beta 105.24
_cell_angle_gamma 90.00
loop_
_atom_site_label
_atom_site_type_symbol
_atom_site_fract_x
_atom_site_fract_y
_atom_site_fract_z
Li1 Li 0.000 0.000 0.000
Li2 Li 0.056 0.000 0.264
V1 V 0.427 0.000 0.228
V2 V 0.461 0.500 0.847
V3 V 0.543 0.000 0.497
V4 V 0.690 0.500 0.106
V5 V 0.735 0.000 0.752
V6 V 0.810 0.500 0.379
O1 O 0.014 0.500 0.473
O2 O 0.209 0.000 0.135
O3 O 0.236 0.500 0.776
O4 O 0.343 0.000 0.346
O5 O 0.380 0.000 0.566
O6 O 0.461 0.500 0.992
O7 O 0.505 0.500 0.226
O8 O 0.547 0.000 0.846
O9 O 0.597 0.500 0.468
O10 O 0.645 0.500 0.750
O11 O 0.647 0.000 0.134
O12 O 0.728 0.000 0.364
O13 O 0.770 0.000 0.618
O14 O 0.858 0.500 0.034
O15 O 0.899 0.500 0.253
O16 O 0.951 0.000 0.841
```

Output
- excess energy over the best structure of this formula in the dataset (eV per atom) = 0.0290
- size of the total moment (μB per cell) = 0.00
- calculated volume (A^3/atom) = 12.96